# 1
The following is a PBEsol calculation of a relaxed structure of Ba3NiSb2O9, from the Alexandria database.

a = 5.8215 Å, b = 5.8215 Å, c = 14.4121 Å
α = 90.00°, β = 90.00°, γ = 120.00°
Space group P6_3/mmc (No. 194)
Inequivalent atoms, fractional coordinates:
Ba1 0.0000 0.0000 0.2500 [2 per cell]
Ba2 0.3333 0.6667 0.0867 [4 per cell]
Ni1 0.0000 0.0000 0.0000 [2 per cell]
Sb1 0.3333 0.6667 0.6511 [4 per cell]
O1 0.0329 0.5165 0.7500 [6 per cell]
O2 0.1664 0.3328 0.5831 [12 per cell]

Results
Formation energy without anion corrections = -1.99 eV/atom

# 2
The following is a PBEsol calculation of a relaxed structure of CuSbW2, from the Alexandria database.

a = 3.264 Å, b = 4.432 Å, c = 8.784 Å
α = 90.00°, β = 90.00°, γ = 90.00°
Space group Immm (No. 71)
Inequivalent atoms, fractional coordinates:
Cu1 0.000 0.000 0.000 [2 per cell]
Sb1 0.000 0.000 0.500 [2 per cell]
W1 0.000 0.500 0.252 [4 per cell]

Results
Formation energy without anion corrections = 0.56 eV/atom

# 3
The following is a PBEsol calculation of a relaxed structure of KLiSc, from the Alexandria database.

a = 7.663 Å, b = 7.663 Å, c = 7.663 Å
α = 90.00°, β = 90.00°, γ = 90.00°
Space group F-43m (No. 216)
Inequivalent atoms, fractional coordinates:
K1 0.000 0.000 0.000 [4 per cell]
Li1 0.250 0.250 0.750 [4 per cell]
Sc1 0.000 0.000 0.500 [4 per cell]

# 4
The following is a PBEsol calculation of a relaxed structure of AlSbPt2, from the Alexandria database.

a = 3.011 Å, b = 3.814 Å, c = 12.611 Å
α = 90.00°, β = 90.00°, γ = 90.00°
Space group Imm2 (No. 44)
Inequivalent atoms, fractional coordinates:
Al1 0.000 0.000 0.000 [2 per cell]
Sb1 0.000 0.500 0.750 [2 per cell]
Pt1 0.000 0.000 0.437 [2 per cell]
Pt2 0.000 0.500 0.136 [2 per cell]

Results
Formation energy without anion corrections = -0.47 eV/atom

# 5
The following is a PBEsol calculation of a relaxed structure of CdGa2Sn, from the Alexandria database.

a = 6.983 Å, b = 6.983 Å, c = 6.983 Å
α = 90.00°, β = 90.00°, γ = 90.00°
Space group Fm-3m (No. 225)
Inequivalent atoms, fractional coordinates:
Cd1 0.000 0.000 0.000 [4 per cell]
Ga1 0.250 0.250 0.250 [8 per cell]
Sn1 0.000 0.000 0.500 [4 per cell]

# 6
The following is a PBEsol calculation of a relaxed structure of LaAlTe2, from the Alexandria database.

a = 4.367 Å, b = 4.396 Å, c = 6.254 Å
α = 90.00°, β = 110.42°, γ = 90.00°
Space group Pm (No. 6)
Inequivalent atoms, fractional coordinates:
La1 0.000 0.000 0.000 [1 per cell]
Al1 0.287 0.500 0.396 [1 per cell]
Te1 0.425 0.500 0.849 [1 per cell]
Te2 0.721 0.000 0.420 [1 per cell]

Results
Formation energy without anion corrections = -1.07 eV/atom

# 7
The following is a PBEsol calculation of a relaxed structure of CeNd3, from the Alexandria database.

a = 5.000 Å, b = 5.000 Å, c = 5.000 Å
α = 90.00°, β = 90.00°, γ = 90.00°
Space group Pm-3m (No. 221)
Inequivalent atoms, fractional coordinates:
Ce1 0.000 0.000 0.000 [1 per cell]
Nd1 0.000 0.500 0.500 [3 per cell]

# 8
The following is a PBEsol calculation of a relaxed structure of LaYP, from the Alexandria database.

a = 3.9331 Å, b = 3.9331 Å, c = 6.7146 Å
α = 90.00°, β = 90.00°, γ = 120.00°
Space group P3m1 (No. 156)
Inequivalent atoms, fractional coordinates:
La1 0.0000 0.0000 0.0000 [1 per cell]
Y1 0.6667 0.3333 0.5194 [1 per cell]
P1 0.3333 0.6667 0.7425 [1 per cell]

# 9
The following is a PBEsol calculation of a relaxed structure of CaTiNiP3O12, from the Alexandria database.

a = 8.4763 Å, b = 8.4763 Å, c = 21.5761 Å
α = 90.00°, β = 90.00°, γ = 120.00°
Space group R3c (No. 161, hexagonal axes)
Inequivalent atoms, fractional coordinates:
Ca1 0.0000 0.0000 0.0000 [6 per cell]
Ti1 0.0000 0.0000 0.1472 [6 per cell]
Ni1 0.0000 0.0000 0.3568 [6 per cell]
P1 0.0495 0.3775 0.4198 [18 per cell]
O1 0.0130 0.1925 0.6937 [18 per cell]
O2 0.0284 0.1861 0.4173 [18 per cell]
O3 0.1565 0.4586 0.4793 [18 per cell]
O4 0.1691 0.4753 0.7532 [18 per cell]

Results
Formation energy without anion corrections = -2.31 eV/atom

# 10
The following is a PBEsol calculation of a relaxed structure of ScCr2, from the Alexandria database.

a = 10.139 Å, b = 2.964 Å, c = 2.964 Å
α = 90.00°, β = 106.76°, γ = 90.00°
Space group C2/m (No. 12)
Inequivalent atoms, fractional coordinates:
Sc1 0.000 0.000 0.000 [2 per cell]
Cr1 0.193 0.500 0.692 [4 per cell]

# 11
The following is a PBEsol calculation of a relaxed structure of TlMo2Pb, from the Alexandria database.

a = 4.866 Å, b = 3.128 Å, c = 5.335 Å
α = 90.00°, β = 111.13°, γ = 90.00°
Space group P2/m (No. 10)
Inequivalent atoms, fractional coordinates:
Tl1 0.000 0.000 0.000 [1 per cell]
Mo1 0.500 0.000 0.500 [1 per cell]
Mo2 0.500 0.500 0.000 [1 per cell]
Pb1 0.000 0.500 0.500 [1 per cell]

# 12
The following is a PBEsol calculation of a relaxed structure of Ba2CaI6, from the Alexandria database.

a = 9.175 Å, b = 15.508 Å, c = 9.747 Å
α = 90.00°, β = 90.68°, γ = 90.00°
Space group C2/c (No. 15)
Inequivalent atoms, fractional coordinates:
Ba1 0.060 0.162 0.485 [8 per cell]
Ca1 0.000 0.452 0.250 [4 per cell]
I1 0.063 0.381 0.553 [8 per cell]
I2 0.181 0.024 0.160 [8 per cell]
I3 0.227 0.288 0.209 [8 per cell]

Results
Formation energy without anion corrections = -1.66 eV/atom

# 13
The following is a PBEsol calculation of a relaxed structure of Rb4Ti2P6Se25, from the Alexandria database.

a = 35.453 Å, b = 37.000 Å, c = 6.626 Å
α = 90.00°, β = 90.00°, γ = 90.00°
Space group Fdd2 (No. 43)
Inequivalent atoms, fractional coordinates:
Rb1 0.055 0.144 0.000 [16 per cell]
Rb2 0.074 0.428 0.735 [16 per cell]
Ti1 0.123 0.283 0.349 [16 per cell]
P1 0.035 0.036 0.068 [16 per cell]
P2 0.072 0.212 0.488 [16 per cell]
P3 0.081 0.359 0.205 [16 per cell]
Se1 0.000 0.000 0.283 [8 per cell]
Se2 0.001 0.430 0.391 [16 per cell]
Se3 0.014 0.229 0.610 [16 per cell]
Se4 0.020 0.307 0.881 [16 per cell]
Se5 0.024 0.363 0.045 [16 per cell]
Se6 0.073 0.061 0.299 [16 per cell]
Se7 0.076 0.002 0.894 [16 per cell]
Se8 0.077 0.328 0.492 [16 per cell]
Se9 0.079 0.236 0.182 [16 per cell]
Se10 0.080 0.155 0.501 [16 per cell]
Se11 0.096 0.415 0.233 [16 per cell]
Se12 0.111 0.247 0.673 [16 per cell]
Se13 0.120 0.323 0.040 [16 per cell]

Results
Formation energy without anion corrections = -0.47 eV/atom

# 14
The following is a PBEsol calculation of a relaxed structure of CaCuAsHO5, from the Alexandria database.

a = 5.802 Å, b = 7.303 Å, c = 9.324 Å
α = 90.00°, β = 90.00°, γ = 90.00°
Space group P2_12_12_1 (No. 19)
Inequivalent atoms, fractional coordinates:
Ca1 0.022 0.132 0.180 [4 per cell]
Cu1 0.249 0.746 0.998 [4 per cell]
As1 0.015 0.620 0.664 [4 per cell]
H1 0.017 0.986 0.485 [4 per cell]
O1 0.003 0.107 0.433 [4 per cell]
O2 0.004 0.938 0.959 [4 per cell]
O3 0.092 0.796 0.552 [4 per cell]
O4 0.239 0.141 0.747 [4 per cell]
O5 0.247 0.602 0.776 [4 per cell]

# 15
The following is a PBEsol calculation of a relaxed structure of PtCl3, from the Alexandria database.

a = 3.4309 Å, b = 3.4309 Å, c = 7.6345 Å
α = 90.00°, β = 90.00°, γ = 120.00°
Space group P-6m2 (No. 187)
Inequivalent atoms, fractional coordinates:
Pt1 0.0000 0.0000 0.0000 [1 per cell]
Cl1 0.0000 0.0000 0.5000 [1 per cell]
Cl2 0.6667 0.3333 0.2026 [2 per cell]

Results
Formation energy without anion corrections = 0.42 eV/atom

# 16
The following is a PBEsol calculation of a relaxed structure of InAgP2, from the Alexandria database.

a = 4.308 Å, b = 4.308 Å, c = 7.678 Å
α = 90.00°, β = 90.00°, γ = 90.00°
Space group I4/mmm (No. 139)
Inequivalent atoms, fractional coordinates:
In1 0.000 0.000 0.000 [2 per cell]
Ag1 0.000 0.000 0.500 [2 per cell]
P1 0.000 0.500 0.250 [4 per cell]

# 17
The following is a PBEsol calculation of a relaxed structure of Hg2SbAs, from the Alexandria database.

a = 3.730 Å, b = 4.916 Å, c = 4.942 Å
α = 90.00°, β = 90.00°, γ = 90.00°
Space group Pmmm (No. 47)
Inequivalent atoms, fractional coordinates:
Hg1 0.000 0.000 0.000 [1 per cell]
Hg2 0.500 0.500 0.000 [1 per cell]
Sb1 0.000 0.500 0.500 [1 per cell]
As1 0.500 0.000 0.500 [1 per cell]

Results
Formation energy without anion corrections = 0.23 eV/atom

# 18
The following is a PBEsol calculation of a relaxed structure of LaMnCd4, from the Alexandria database.

a = 8.120 Å, b = 8.120 Å, c = 8.120 Å
α = 90.00°, β = 90.00°, γ = 90.00°
Space group F-43m (No. 216)
Inequivalent atoms, fractional coordinates:
La1 0.000 0.000 0.000 [4 per cell]
Mn1 0.250 0.250 0.250 [4 per cell]
Cd1 0.124 0.124 0.624 [16 per cell]

# 19
The following is a PBEsol calculation of a relaxed structure of PrSnPt, from the Alexandria database.

a = 7.416 Å, b = 4.606 Å, c = 8.006 Å
α = 90.00°, β = 90.00°, γ = 90.00°
Space group Pnma (No. 62)
Inequivalent atoms, fractional coordinates:
Pr1 0.013 0.250 0.193 [4 per cell]
Sn1 0.175 0.250 0.583 [4 per cell]
Pt1 0.209 0.750 0.408 [4 per cell]

| no. | electronic total energy (eV/atom) | size of the total moment (μB/cell) |
| --- | --- | --- |
| 1 | -6.586 | 4.005 |
| 2 | -8.568 | 0.001 |
| 3 | -2.338 | 4.592 |
| 4 | -6.111 | 0.000 |
| 5 | -2.963 | 0.000 |
| 6 | -5.195 | 0.000 |
| 7 | -5.420 | 0.352 |
| 8 | -6.940 | 0.418 |
| 9 | -7.695 | 5.968 |
| 10 | -8.810 | 0.001 |
| 11 | -6.701 | 0.001 |
| 12 | -3.551 | 0.000 |
| 13 | -4.568 | 0.002 |
| 14 | -6.141 | 4.030 |
| 15 | -2.830 | 0.061 |
| 16 | -4.022 | 0.000 |
| 17 | -2.473 | 0.000 |
| 18 | -3.241 | 13.883 |
| 19 | -6.511 | 0.000 |